The following is a PBE calculation of an optimized crystal structure of Ho2CdHg, from Alexandria via LeMat-Bulk.

Cell and atoms, written as POSCAR:
```
Ho2CdHg
1.0
3.755 0.000 0.000
0.000 5.223 0.000
0.000 0.000 5.223
Cd Hg Ho
1 1 2
Direct
0.500 0.000 0.000
0.500 0.500 0.500
0.000 0.000 0.500
0.000 0.500 0.000
```

Calculated volume, Å³/atom: 25.6
Spin magnetization, μB per atom: 0.00
Energy of formation from the pure elements, eV per atom: -0.3973
E above lowest polymorph, meV per atom: 0
Symmetry: P4/mmm